Entry 1:
Material: TaBeFe
Method: DFT, PBE
State: relaxed

a = 4.7838 Å, b = 4.7838 Å, c = 4.7838 Å
α = 144.60°, β = 144.60°, γ = 50.93°
With the nearest neighbours (Å) after each atom.
Positions (direct):
Ta: 0.0000 0.0000 0.0000  5 Fe 2.63-2.68, 5 Be 2.64-2.66, 4 Ta 2.91
Be: 0.6948 0.6948 0.0000  4 Fe 2.28
Fe: 0.3097 0.3097 0.0000  4 Be 2.28

Summary:
Total moment ... 0.0 μB/f.u.
Calculated density ... 11.2 Mg/m³
E_form ... -0.060 eV per atom
Space group ... No. 107

Entry 2:
Material: TaBeFe
Method: DFT, PBE
State: relaxed

a = 4.6712 Å, b = 4.6712 Å, c = 4.6712 Å
α = 119.91°, β = 118.74°, γ = 91.18°
With the nearest neighbours (Å) after each atom.
Positions (direct):
Ta: 0.3751 0.1251 0.2500  6 Be 2.72-2.77, 6 Fe 2.72-2.75, 4 Ta 2.85-2.89
Ta: 0.6249 0.8749 0.7500  6 Be 2.72-2.77, 6 Fe 2.72-2.75, 4 Ta 2.85-2.89
Be: 0.0000 0.0000 0.5000  4 Fe 2.34, 2 Be 2.34
Be: 0.0000 0.5000 0.0000  4 Fe 2.34, 2 Be 2.34
Fe: 0.0000 0.5000 0.5000  4 Be 2.34, 2 Fe 2.38
Fe: 0.5000 0.5000 0.0000  4 Be 2.34, 2 Fe 2.38

Summary:
Total moment ... 0.8 μB/f.u.
Calculated density ... 11.2 Mg/m³
E_form ... -0.237 eV per atom
Space group ... No. 74

Q: What is the formula in the second record?
A: TaBeFe

Q: What is the calculated density in the first record?
A: 11.2 Mg/m³

Q: What is the formula in the second record?
A: TaBeFe